[1]
# Ba3Sr12Mg (PBE, relaxed)
# * electronic total energy: -1.7028 eV/atom
# * Fermi-level density of states: 19.81 states/eV per cell
# * SG: P4/mmm (123)
# * total moment: 0.00 μB per atom
# * energy of formation from the pure elements: 19 meV/atom
data_Ba3Sr12Mg
_chemical_formula_sum 'Ba3 Sr12 Mg1'
_space_group_name_H-M_alt 'P 1'
_space_group_IT_number 1
_cell_length_a 6.121
_cell_length_b 6.121
_cell_length_c 23.123
_cell_angle_alpha 90.00
_cell_angle_beta 90.00
_cell_angle_gamma 90.00
loop_
_space_group_symop_operation_xyz
'x,y,z'
loop_
_atom_site_label
_atom_site_type_symbol
_atom_site_fract_x
_atom_site_fract_y
_atom_site_fract_z
Ba1 Ba 0.000 0.000 0.000
Ba2 Ba 0.000 0.000 0.263
Ba3 Ba 0.000 0.000 0.737
Sr1 Sr 0.000 0.500 0.132
Sr2 Sr 0.000 0.500 0.396
Sr3 Sr 0.000 0.500 0.604
Sr4 Sr 0.000 0.500 0.868
Sr5 Sr 0.500 0.000 0.132
Sr6 Sr 0.500 0.000 0.396
Sr7 Sr 0.500 0.000 0.604
Sr8 Sr 0.500 0.000 0.868
Sr9 Sr 0.500 0.500 0.000
Sr10 Sr 0.500 0.500 0.266
Sr11 Sr 0.500 0.500 0.500
Sr12 Sr 0.500 0.500 0.734
Mg1 Mg 0.000 0.000 0.500

=====

[2]
# HfCdO3 (PBE, relaxed)
# * electronic total energy: -7.6749 eV/atom
# * Fermi-level density of states: 0.00 states/eV per cell
# * SG: Pnma (62)
# * total moment: 0.00 μB per atom
# * formation energy (no corrections): -2526.2 meV per atom
data_HfCdO3
_chemical_formula_sum 'Hf4 Cd4 O12'
_space_group_name_H-M_alt 'P 1'
_space_group_IT_number 1
_cell_length_a 5.714
_cell_length_b 8.047
_cell_length_c 5.552
_cell_angle_alpha 90.00
_cell_angle_beta 90.00
_cell_angle_gamma 90.00
loop_
_space_group_symop_operation_xyz
'x,y,z'
loop_
_atom_site_label
_atom_site_type_symbol
_atom_site_fract_x
_atom_site_fract_y
_atom_site_fract_z
Hf1 Hf 0.000 0.000 0.000
Hf2 Hf 0.000 0.500 0.000
Hf3 Hf 0.500 0.000 0.500
Hf4 Hf 0.500 0.500 0.500
Cd1 Cd 0.042 0.250 0.491
Cd2 Cd 0.458 0.750 0.991
Cd3 Cd 0.542 0.250 0.009
Cd4 Cd 0.958 0.750 0.509
O1 O 0.045 0.750 0.107
O2 O 0.196 0.557 0.693
O3 O 0.196 0.943 0.693
O4 O 0.304 0.057 0.193
O5 O 0.304 0.443 0.193
O6 O 0.455 0.250 0.607
O7 O 0.545 0.750 0.393
O8 O 0.696 0.557 0.807
O9 O 0.696 0.943 0.807
O10 O 0.804 0.057 0.307
O11 O 0.804 0.443 0.307
O12 O 0.955 0.250 0.893